Material: AsPtI2
Method: DFT, PBEsol
State: relaxed

symmetry	No. 225
formation energy without anion corrections	721	meV/atom

Unit cell a=5.0099 b=5.0099 c=5.0099 alpha=60.00 beta=60.00 gamma=60.00
Fractional positions:
As (0.0000, 0.0000, 0.0000)
Pt (0.5000, 0.5000, 0.5000)
I (0.2500, 0.2500, 0.2500)
I (0.7500, 0.7500, 0.7500)

Material: Sb2Te
Method: DFT, PBEsol
State: relaxed

ΔE to the lowest computed polymorph	0.023	eV per atom
symmetry	No. 141
formation energy without anion corrections	13	meV/atom

Unit cell a=6.2704 b=6.2704 c=6.2704 alpha=103.72 beta=103.72 gamma=121.71
Fractional positions:
Sb (0.0000, 0.0000, 0.0000)
Sb (0.0000, 0.0000, 0.5000)
Sb (0.0000, 0.5000, 0.0000)
Sb (0.5000, 0.0000, 0.5000)
Te (0.3750, 0.6250, 0.7500)
Te (0.6250, 0.3750, 0.2500)

Material: BaCaAg2
Method: DFT, PBEsol
State: relaxed

ΔE to the lowest computed polymorph	0.003	eV per atom
symmetry	No. 38

Unit cell a=4.6901 b=6.3404 c=6.3404 alpha=39.79 beta=90.00 gamma=90.00
Fractional positions:
Ba (0.0000, 0.0000, 0.0000)
Ca (0.5000, 0.2799, 0.2799)
Ag (0.0000, 0.7201, 0.7201)
Ag (0.5000, 0.5862, 0.5862)

Material: LaZr9O20
Method: DFT, PBEsol
State: relaxed

ΔE to the lowest computed polymorph	0.000	eV per atom
symmetry	No. 1
formation energy without anion corrections	-3369	meV/atom

Unit cell a=6.2955 b=7.3965 c=8.3989 alpha=73.98 beta=75.84 gamma=70.58
Fractional positions:
La (0.0000, 0.0000, 0.0000)
Zr (0.0007, 0.4966, 0.9808)
Zr (0.2080, 0.8031, 0.5909)
Zr (0.2134, 0.2886, 0.5897)
Zr (0.4018, 0.0863, 0.1986)
Zr (0.4377, 0.6014, 0.1842)
Zr (0.5973, 0.8924, 0.7825)
Zr (0.6194, 0.4120, 0.7752)
Zr (0.8115, 0.6861, 0.3928)
Zr (0.8193, 0.2046, 0.3864)
O (0.0351, 0.1978, 0.1592)
O (0.0913, 0.5935, 0.5207)
O (0.0912, 0.7063, 0.1980)
O (0.1921, 0.1209, 0.4328)
O (0.2461, 0.9792, 0.7369)
O (0.2772, 0.5508, 0.7840)
O (0.3011, 0.4062, 0.1053)
O (0.4112, 0.9101, 0.0378)
O (0.4217, 0.7776, 0.3590)
O (0.4782, 0.3451, 0.3761)
O (0.5031, 0.1992, 0.7012)
O (0.5966, 0.7142, 0.6291)
O (0.6150, 0.1925, 0.9869)
O (0.6279, 0.5786, 0.9474)
O (0.7138, 0.9880, 0.2881)
O (0.7874, 0.5311, 0.2243)
O (0.8310, 0.3787, 0.5431)
O (0.8689, 0.9519, 0.5678)
O (0.8959, 0.7913, 0.8816)
O (0.9847, 0.3326, 0.8221)

Material: Cs3NaBr
Method: DFT, PBEsol
State: relaxed

symmetry	No. 221
formation energy without anion corrections	-673	meV/atom

Unit cell a=7.0257 b=7.0257 c=7.0257 alpha=90.00 beta=90.00 gamma=90.00
Fractional positions:
Cs (0.0000, 0.0000, 0.5000)
Cs (0.0000, 0.5000, 0.0000)
Cs (0.5000, 0.0000, 0.0000)
Na (0.5000, 0.5000, 0.5000)
Br (0.0000, 0.0000, 0.0000)

Material: Cd2HgTe
Method: DFT, PBEsol
State: relaxed

ΔE to the lowest computed polymorph	0.014	eV per atom
symmetry	No. 47
formation energy without anion corrections	-37	meV/atom

Unit cell a=3.0647 b=3.9972 c=8.0282 alpha=90.00 beta=90.00 gamma=90.00
Fractional positions:
Cd (0.0000, 0.0000, 0.2213)
Cd (0.0000, 0.0000, 0.7787)
Hg (0.5000, 0.5000, 0.0000)
Te (0.0000, 0.5000, 0.5000)

Material: AlPt2RhBr
Method: DFT, PBEsol
State: relaxed

symmetry	No. 123
formation energy without anion corrections	939	meV/atom

Unit cell a=4.8074 b=4.8074 c=4.6588 alpha=90.00 beta=90.00 gamma=90.00
Fractional positions:
Al (0.0000, 0.0000, 0.0000)
Pt (0.0000, 0.5000, 0.5000)
Pt (0.5000, 0.0000, 0.5000)
Rh (0.0000, 0.0000, 0.5000)
Br (0.5000, 0.5000, 0.0000)

Material: Ce3TaCl3O6
Method: DFT, PBEsol
State: relaxed

symmetry	No. 176
formation energy without anion corrections	-3006	meV/atom

Unit cell a=9.1634 b=9.1634 c=5.3356 alpha=90.00 beta=90.00 gamma=120.00
Fractional positions:
Ce (0.0914, 0.4092, 0.2500)
Ce (0.3177, 0.9086, 0.2500)
Ce (0.4092, 0.3177, 0.7500)
Ce (0.5908, 0.6823, 0.2500)
Ce (0.6823, 0.0914, 0.7500)
Ce (0.9086, 0.5908, 0.7500)
Ta (0.3333, 0.6667, 0.7500)
Ta (0.6667, 0.3333, 0.2500)
Cl (0.0525, 0.2400, 0.7500)
Cl (0.1876, 0.9475, 0.7500)
Cl (0.2400, 0.1876, 0.2500)
Cl (0.7600, 0.8124, 0.7500)
Cl (0.8124, 0.0525, 0.2500)
Cl (0.9475, 0.7600, 0.2500)
O (0.1547, 0.6364, 0.5096)
O (0.1547, 0.6364, 0.9904)
O (0.3636, 0.5183, 0.5096)
O (0.3636, 0.5183, 0.9904)
O (0.4817, 0.8453, 0.5096)
O (0.4817, 0.8453, 0.9904)
O (0.5183, 0.1547, 0.0096)
O (0.5183, 0.1547, 0.4904)
O (0.6364, 0.4817, 0.0096)
O (0.6364, 0.4817, 0.4904)
O (0.8453, 0.3636, 0.0096)
O (0.8453, 0.3636, 0.4904)

Material: AsPdSe
Method: DFT, PBEsol
State: relaxed

symmetry	No. 198
formation energy without anion corrections	-394	meV/atom

Unit cell a=6.0775 b=6.0775 c=6.0775 alpha=90.00 beta=90.00 gamma=90.00
Fractional positions:
As (0.1182, 0.1182, 0.1182)
As (0.3818, 0.8818, 0.6182)
As (0.6182, 0.3818, 0.8818)
As (0.8818, 0.6182, 0.3818)
Pd (0.0055, 0.9945, 0.4945)
Pd (0.4945, 0.0055, 0.9945)
Pd (0.5055, 0.5055, 0.5055)
Pd (0.9945, 0.4945, 0.0055)
Se (0.1157, 0.3843, 0.6157)
Se (0.3843, 0.6157, 0.1157)
Se (0.6157, 0.1157, 0.3843)
Se (0.8843, 0.8843, 0.8843)

Material: TlNiCl
Method: DFT, PBEsol
State: relaxed

ΔE to the lowest computed polymorph	0.114	eV per atom
symmetry	No. 42
formation energy without anion corrections	47	meV/atom

Unit cell a=6.2864 b=6.0795 c=3.2951 alpha=78.04 beta=71.11 gamma=30.85
Fractional positions:
Tl (0.0000, 0.0000, 0.0000)
Ni (0.3144, 0.3144, 0.6856)
Cl (0.7436, 0.7436, 0.2564)

Material: Sc2PtRh
Method: DFT, PBEsol
State: relaxed

total energy	-29.4	eV/cell
symmetry	No. 160

Unit cell a=8.8478 b=8.8478 c=8.8478 alpha=20.69 beta=20.69 gamma=20.69
Fractional positions:
Sc (0.0000, 0.0000, 0.0000)
Sc (0.2204, 0.2204, 0.2204)
Pt (0.4841, 0.4841, 0.4841)
Rh (0.7341, 0.7341, 0.7341)

Material: RbLaTc3
Method: DFT, PBEsol
State: relaxed

total energy	-28.9	eV/cell
symmetry	No. 221

Unit cell a=4.9372 b=4.9372 c=4.9372 alpha=90.00 beta=90.00 gamma=90.00
Fractional positions:
Rb (0.0000, 0.0000, 0.0000)
La (0.5000, 0.5000, 0.5000)
Tc (0.0000, 0.5000, 0.5000)
Tc (0.5000, 0.0000, 0.5000)
Tc (0.5000, 0.5000, 0.0000)